Compound: Tb2Nd6Dy3In
Source: Alexandria via LeMat-Bulk
Functional: GGA-PBE
Structure: optimized geometry

Lattice parameters (Å, degrees): 6.2173 6.2173 11.8341 95.06 95.06 120.11
With the nearest neighbours (Å) after each atom.
Fractional positions:
Tb  0.3334  0.6666  0.0000  6 Nd 3.57-3.58, 3 In 3.59, 3 Tb 3.59
Tb  0.6666  0.3334  0.0000  6 Nd 3.57-3.58, 3 In 3.59, 3 Tb 3.59
Nd  0.9175  0.5904  0.7519  6 Nd 3.52-3.63, 1 In 3.53, 2 Tb 3.57, 3 Dy 3.58-3.61
Nd  0.7561  0.7561  0.2492  6 Nd 3.52-3.63, 1 In 3.54, 3 Dy 3.57-3.61, 2 Tb 3.58
Nd  0.0825  0.4096  0.2481  6 Nd 3.52-3.63, 1 In 3.53, 2 Tb 3.57, 3 Dy 3.58-3.61
Nd  0.5904  0.9175  0.7519  6 Nd 3.52-3.63, 1 In 3.53, 2 Tb 3.57, 3 Dy 3.58-3.61
Nd  0.2439  0.2439  0.7508  6 Nd 3.52-3.63, 1 In 3.54, 3 Dy 3.57-3.61, 2 Tb 3.58
Nd  0.4096  0.0825  0.2481  6 Nd 3.52-3.63, 1 In 3.53, 2 Tb 3.57, 3 Dy 3.58-3.61
Dy  0.1676  0.8324  0.5000  6 Nd 3.57-3.61, 6 Dy 3.57-3.61
Dy  0.8324  0.1676  0.5000  6 Nd 3.57-3.61, 6 Dy 3.57-3.61
Dy  0.5000  0.5000  0.5000  6 Nd 3.58-3.61, 6 Dy 3.58-3.59
In  0.0000  0.0000  0.0000  6 Nd 3.53-3.54, 6 Tb 3.59

Output
Final energy (eV for the cell shown): -54.9
V (Å³ per cell): 389
Energy of formation from the pure elements (kJ per mole of atoms): -3.74

Compound: TbNd2Dy5In
Source: Alexandria via LeMat-Bulk
Functional: GGA-PBE
Structure: optimized geometry

Lattice parameters (Å, degrees): 5.4063 10.4072 10.6014 90.00 90.00 105.05
With the nearest neighbours (Å) after each atom.
Fractional positions:
Tb  0.7933  0.5866  0.5084  7 Dy 3.43-3.61, 2 In 3.52, 2 Nd 3.60
Tb  0.2067  0.4134  0.0084  7 Dy 3.43-3.61, 2 In 3.52, 2 Nd 3.60
Nd  0.8836  0.7673  0.8012  9 Dy 3.40-3.74, 1 Tb 3.60
Nd  0.1166  0.2332  0.7154  9 Dy 3.40-3.74, 1 Tb 3.60
Nd  0.1164  0.2327  0.3012  9 Dy 3.40-3.74, 1 Tb 3.60
Nd  0.8834  0.7668  0.2154  9 Dy 3.40-3.74, 1 Tb 3.60
Dy  0.3847  0.7694  0.0082  4 Nd 3.48, 6 Dy 3.52-3.73, 1 Tb 3.58
Dy  0.7100  0.4200  0.8095  1 In 3.13, 2 Dy 3.33, 2 Tb 3.43, 3 Nd 3.44-3.49
Dy  0.4999  0.9998  0.7580  2 In 3.26, 2 Dy 3.52, 4 Nd 3.60-3.61
Dy  0.2905  0.5810  0.7072  1 In 3.13, 2 Dy 3.33, 2 Tb 3.43, 3 Nd 3.44-3.50
Dy  0.9873  0.9747  0.5084  2 In 3.17, 2 Nd 3.40
Dy  0.6153  0.2306  0.5082  4 Nd 3.48, 6 Dy 3.52-3.73, 1 Tb 3.58
Dy  0.2900  0.5800  0.3095  1 In 3.13, 2 Dy 3.33, 2 Tb 3.43, 3 Nd 3.44-3.49
Dy  0.5001  0.0002  0.2580  2 In 3.26, 2 Dy 3.52, 4 Nd 3.60-3.61
Dy  0.7095  0.4190  0.2072  1 In 3.13, 2 Dy 3.33, 2 Tb 3.43, 3 Nd 3.44-3.50
Dy  0.0127  0.0253  0.0084  2 In 3.17, 2 Nd 3.40
In  0.5947  0.1894  0.0077  6 Dy 3.13-3.26
In  0.4053  0.8106  0.5077  6 Dy 3.13-3.26

Output
Final energy (eV for the cell shown): -80.1
V (Å³ per cell): 576
Energy of formation from the pure elements (kJ per mole of atoms): -1.35

Compound: TbNdDy2In4
Source: Alexandria via LeMat-Bulk
Functional: GGA-PBE
Structure: optimized geometry

Lattice parameters (Å, degrees): 5.3573 5.3573 9.2977 73.26 73.26 60.00
With the nearest neighbours (Å) after each atom.
Fractional positions:
Tb  0.5000  0.5000  0.5000  8 In 3.26-3.27
Nd  0.0000  0.0000  0.0000  8 In 3.29-3.32
Dy  0.7503  0.7503  0.7492  8 In 3.25-3.33
Dy  0.2497  0.2497  0.2508  8 In 3.25-3.33
In  0.3762  0.3762  0.8714  1 Tb 3.26, 4 Dy 3.27-3.33, 3 Nd 3.29
In  0.8739  0.8739  0.3783  4 Dy 3.25-3.29, 3 Tb 3.27, 1 Nd 3.32
In  0.1261  0.1261  0.6217  4 Dy 3.25-3.29, 3 Tb 3.27, 1 Nd 3.32
In  0.6238  0.6238  0.1286  1 Tb 3.26, 4 Dy 3.27-3.33, 3 Nd 3.29

Output
Final energy (eV for the cell shown): -33.3
V (Å³ per cell): 218
Energy of formation from the pure elements (kJ per mole of atoms): -45.64